K2InHg16, relaxed, DFT GGA-PBE; D(E_F) = 0.3114 states/eV/atom; total DFT energy (no corrections) = -0.619 eV/atom; formation enthalpy at 0 K = -105 meV per atom; V = 29.0 Å³/atom; ρ = 10.24 g/cm3; magnetization = 0.00 μB per formula unit; crystal system = trigonal
1.0
-5.0767 1.9986 -6.3837
-2.3594 -7.4878 -2.9806
-7.6686 -1.0254 3.2648
Hg In K
16 1 2
direct
0.1129 0.1129 0.1129
0.6984 0.3041 0.0015
0.9530 0.9530 0.5609
0.0015 0.3041 0.6984
0.8940 0.3469 0.3469
0.9530 0.5609 0.9530
0.3041 0.0015 0.6984
0.6036 0.2139 0.6036
0.6036 0.6036 0.2139
0.6984 0.0015 0.3041
0.0015 0.6984 0.3041
0.3041 0.6984 0.0015
0.3469 0.8940 0.3469
0.2139 0.6036 0.6036
0.5609 0.9530 0.9530
0.3469 0.3469 0.8940
0.9348 0.9348 0.9348
0.6457 0.6457 0.6457
0.3228 0.3228 0.3228



Rb4Nd3ErSe8, relaxed, DFT GGA-PBE; D(E_F) = 0.0000 states/eV/atom; formation energy from raw total energies = -1732 meV per atom; total DFT energy (no corrections) = -4.895 eV/atom; V = 32.7 Å³/atom; ρ = 5.00 g/cm3; magnetization = 0.00 μB per formula unit; crystal system = monoclinic
1.0
-2.7319 -8.2145 0.5696
8.9541 -2.9090 0.9009
-2.8479 5.9141 5.6644
Se Nd Rb Er
8 3 4 1
direct
0.2282 0.6980 0.4569
0.7342 0.7022 0.4688
0.2285 0.6981 0.9704
0.7718 0.3020 0.5431
0.7417 0.6981 0.9705
0.2583 0.3019 0.0295
0.2658 0.2978 0.5312
0.7715 0.3019 0.0296
0.0000 0.5000 0.5000
0.5000 0.5000 0.5000
0.5000 0.5000 0.0000
0.5000 0.0000 0.0000
0.0000 0.0000 0.5000
0.5000 0.0000 0.5000
0.0000 0.0000 0.0000
0.0000 0.5000 0.0000



Sc2RuCl, relaxed, DFT GGA-PBE; D(E_F) = 0.5975 states/eV/atom; formation energy from raw total energies = -992 meV per atom; total DFT energy (no corrections) = -6.938 eV/atom; V = 19.8 Å³/atom; ρ = 4.74 g/cm3; magnetization = 0.00 μB per formula unit; crystal system = orthorhombic
1.0
3.2005 0.0000 0.0000
0.0000 3.2842 -0.0207
0.0000 0.0551 7.5467
Sc Cl Ru
2 1 1
direct
0.0000 0.2503 0.5442
0.0000 0.2497 0.9558
0.5000 0.2500 0.2500
0.5000 0.7500 0.7500



Mg2SiNi, relaxed, DFT GGA-PBE; D(E_F) = 0.0281 states/eV/atom; formation energy from raw total energies = -10 meV per atom; total DFT energy (no corrections) = -3.609 eV/atom; V = 24.7 Å³/atom; ρ = 2.27 g/cm3; magnetization = 0.00 μB per formula unit; crystal system = tetragonal
1.0
9.6400 0.0000 0.0000
0.0000 9.6400 0.0000
4.8200 4.8200 2.1278
Si Ni Mg
2 2 4
direct
0.2500 0.7500 0.5000
0.5000 0.5000 0.0000
0.7500 0.2500 0.5000
0.0000 0.0000 0.0000
0.8750 0.1236 0.7500
0.8764 0.6250 0.2500
0.8736 0.1250 0.2500
0.3750 0.1264 0.7500



CaTlIr2, relaxed, DFT GGA-PBE; D(E_F) = 1.0162 states/eV/atom; total DFT energy (no corrections) = -5.298 eV/atom; formation enthalpy at 0 K = 224 meV per atom; V = 20.7 Å³/atom; ρ = 12.60 g/cm3; magnetization = 0.00 μB per formula unit; crystal system = orthorhombic
1.0
-0.9550 2.9664 3.2328
-0.1248 -2.2924 2.0666
5.8352 0.6723 1.1069
Ca Ir Tl
1 2 1
direct
0.5000 0.7500 0.7500
0.0000 0.2506 0.5412
0.0000 0.2494 0.9588
0.5000 0.2500 0.2500



Sm3ThAs3, relaxed, DFT GGA-PBE; D(E_F) = 0.9455 states/eV/atom; total DFT energy (no corrections) = -6.293 eV/atom; formation enthalpy at 0 K = -1218 meV per atom; V = 25.6 Å³/atom; ρ = 8.42 g/cm3; magnetization = 0.00 μB per formula unit; crystal system = cubic
1.0
-5.9380 -0.7998 6.6424
-6.5907 -0.8282 -5.9914
1.1507 -8.8710 -0.0395
As Sm Th
12 12 4
direct
0.5010 0.7502 0.3753
0.7502 0.3753 0.5010
0.4990 0.2502 0.1247
0.8753 0.9990 0.2498
0.0010 0.7498 0.6247
0.2498 0.8753 0.9990
0.3753 0.5010 0.7502
0.9990 0.2498 0.8753
0.6247 0.0010 0.7498
0.7498 0.6247 0.0010
0.2502 0.1247 0.4990
0.1247 0.4990 0.2502
0.0659 0.4341 0.5659
0.9341 0.9341 0.9341
0.8171 0.6829 0.3171
0.6850 0.6850 0.6850
0.1850 0.8150 0.3150
0.3150 0.1850 0.8150
0.5659 0.0659 0.4341
0.3171 0.8171 0.6829
0.4341 0.5659 0.0659
0.1829 0.1829 0.1829
0.6829 0.3171 0.8171
0.8150 0.3150 0.1850
0.5684 0.9316 0.0684
0.4316 0.4316 0.4316
0.0684 0.5684 0.9316
0.9316 0.0684 0.5684



CrNi6Ir, relaxed, DFT GGA-PBE; D(E_F) = 1.9849 states/eV/atom; total DFT energy (no corrections) = -6.013 eV/atom; formation enthalpy at 0 K = 633 meV per atom; V = 15.1 Å³/atom; ρ = 8.22 g/cm3; magnetization = 2.39 μB per formula unit; crystal system = trigonal
1.0
-4.4393 0.2824 -1.6884
-3.6670 -1.3582 2.7104
-3.1811 5.3548 2.5557
Ni Ir Cr
6 1 1
direct
0.0679 0.0679 0.3091
0.5552 0.0679 0.3091
0.9321 0.9321 0.6909
0.0679 0.5552 0.3091
0.9321 0.4448 0.6909
0.4448 0.9321 0.6909
0.0000 0.0000 0.0000
0.5000 0.5000 0.5000



Cs2SmMnSe4, relaxed, DFT GGA-PBE; D(E_F) = 0.5438 states/eV/atom; formation energy from raw total energies = -1036 meV per atom; total DFT energy (no corrections) = -4.728 eV/atom; V = 31.7 Å³/atom; ρ = 5.15 g/cm3; magnetization = 3.99 μB per formula unit; crystal system = orthorhombic
1.0
-4.0322 -0.4423 7.9801
-0.3637 -8.9191 -0.6742
7.8399 4.2247 -0.8148
Cs Sm Se Mn
4 2 8 2
direct
0.0000 0.0000 0.5000
0.5000 0.5000 0.0000
0.5000 0.0000 0.5000
0.5000 0.0000 0.0000
0.0000 0.5000 0.0000
0.0000 0.5000 0.5000
0.2330 0.2669 0.0599
0.7669 0.7330 0.5599
0.7555 0.3171 0.5363
0.2445 0.6829 0.4637
0.8171 0.2555 0.0363
0.2331 0.2670 0.4401
0.1829 0.7445 0.9637
0.7670 0.7331 0.9401
0.0000 0.0000 0.0000
0.5000 0.5000 0.5000